# 1
Here is an optimized crystal structure of KSb2Ir2 from the Alexandria database. Energies are from PBE.

```
KSb2Ir2
1.0
3.9938 0.0000 0.0000
0.0000 3.9938 0.0000
0.0000 0.0000 8.2480
K Sb Ir
1 2 2
Direct
0.0000 0.0000 0.0000
0.5000 0.5000 0.2829
0.5000 0.5000 0.7171
0.0000 0.5000 0.5000
0.5000 0.0000 0.5000
```

ΔE_f (raw) (meV/atom): -72

***

# 2
Here is an optimized crystal structure of EuPd from the Alexandria database. Energies are from PBE.

```
EuPd
1.0
2.0281 -5.5645 0.0000
2.0281 5.5645 0.0000
0.0000 0.0000 4.4789
Eu Pd
2 2
Direct
0.1395 0.8605 0.7500
0.8605 0.1395 0.2500
0.4209 0.5791 0.7500
0.5791 0.4209 0.2500
```

ΔE_f (eV per atom): -0.682

***

# 3
Here is an optimized crystal structure of YPu3Te4 from the Alexandria database. Energies are from PBE.

```
YPu3Te4
1.0
4.4184 -6.2443 0.0000
4.4184 6.2443 0.0000
0.0000 0.0000 4.4167
Y Pu Te
1 3 4
Direct
0.0000 0.0000 0.0000
0.0000 0.5000 0.5000
0.5000 0.0000 0.5000
0.5000 0.5000 0.0000
0.2473 0.2473 0.5000
0.2487 0.7513 0.0000
0.7513 0.2487 0.0000
0.7527 0.7527 0.5000
```

ΔE_f (raw) (meV/atom): -1162

***

# 4
Here is an optimized crystal structure of SrMg2AlAu4 from the Alexandria database. Energies are from PBE.

```
SrMg2AlAu4
1.0
2.2932 1.3240 9.2848
-2.2932 1.3240 9.2848
0.0000 -2.6479 9.2848
Sr Mg Al Au
1 2 1 4
Direct
0.0000 0.0000 0.0000
0.2371 0.2371 0.2371
0.7629 0.7629 0.7629
0.5000 0.5000 0.5000
0.1359 0.1359 0.1359
0.4036 0.4036 0.4036
0.5964 0.5964 0.5964
0.8641 0.8641 0.8641
```

ΔE_f (eV per atom): -0.576

***

# 5
Here is an optimized crystal structure of AlCu2Se from the Alexandria database. Energies are from PBE.

```
AlCu2Se
1.0
2.7719 0.0000 0.0000
0.0000 2.7719 0.0000
0.0000 0.0000 8.2026
Al Cu Se
1 2 1
Direct
0.0000 0.0000 0.0000
0.5000 0.5000 0.2061
0.5000 0.5000 0.7939
0.0000 0.0000 0.5000
```

ΔE_f (raw) (meV/atom): 122

***

# 6
Here is an optimized crystal structure of CaSm3Ho from the Alexandria database. Energies are from PBE.

```
CaSm3Ho
1.0
3.3533 -9.0409 0.0000
3.3533 9.0409 0.0000
0.0000 0.0000 6.4008
Ca Sm Ho
2 6 2
Direct
0.1847 0.8153 0.7500
0.8153 0.1847 0.2500
0.0000 0.0000 0.0000
0.0000 0.0000 0.5000
0.1264 0.3936 0.7500
0.3936 0.1264 0.2500
0.6064 0.8736 0.7500
0.8736 0.6064 0.2500
0.4527 0.5473 0.2500
0.5473 0.4527 0.7500
```

ΔE_f (eV per atom): 0.329
Energy above the most stable polymorph in this dataset (meV/atom): 0

***

What are the E values for these records? In order: -27.4; -16.8; -71.3; -26.3; -14.9; -19.1 eV per formula unit.
What are the density of states at the Fermi level values for these records? In order: 1.08; 6.04; 4.00; 0.44; 0.29; 1.44 states/eV per atom.